(1)
DFT (PBEsol) results for crystalline Li2LaIr at its relaxed geometry.

a = 3.8538 Å, b = 6.0218 Å, c = 6.0218 Å
α = 37.25°, β = 90.00°, γ = 90.00°
Atoms (fractional coordinates):
1 Li 0.0000 0.0000 0.0000
2 Li 0.5000 0.4608 0.4608
3 La 0.5000 0.7413 0.7413
4 Ir 0.0000 0.3182 0.3182

## Properties
The total energy comes out at -0.1834 Ha/atom. The value obtained for the density is 6.77 g/cm³. For the formation energy, the calculation gives -0.214 eV per atom. As for the symmetry: Amm2 (38). The density of states at the Fermi level comes out at 0.84 states/eV/f.u.

***

(2)
DFT (PBEsol) results for crystalline LiCa2Zn at its relaxed geometry.

a = 7.4264 Å, b = 7.4264 Å, c = 7.4264 Å
α = 34.44°, β = 34.44°, γ = 34.44°
Atoms (fractional coordinates):
1 Li 0.0000 0.0000 0.0000
2 Ca 0.2393 0.2393 0.2393
3 Ca 0.4265 0.4265 0.4265
4 Zn 0.6662 0.6662 0.6662

## Properties
The total energy comes out at -0.0727 Ha/atom. The value obtained for the density is 2.17 g/cm³. For the formation energy, the calculation gives -0.025 eV per atom. As for the symmetry: R3m (160). The density of states at the Fermi level comes out at 3.09 states/eV/f.u.

***

(3)
DFT (PBEsol) results for crystalline Cd2CoTc at its relaxed geometry.

a = 2.6721 Å, b = 4.4597 Å, c = 5.3514 Å
α = 90.00°, β = 102.44°, γ = 90.00°
Atoms (fractional coordinates):
1 Cd 0.1859 0.0000 0.2573
2 Cd 0.8141 0.0000 0.7427
3 Co 0.0000 0.5000 0.5000
4 Tc 0.5000 0.5000 0.0000

## Properties
The total energy comes out at -0.1775 Ha/atom. The value obtained for the density is 10.18 g/cm³. For the formation energy, the calculation gives 0.518 eV per atom. As for the symmetry: P2/m (10). The density of states at the Fermi level comes out at 4.09 states/eV/f.u.